No. 1
The following is a DFT calculation (GGA-PBE) of crystalline Sr3Cu at its relaxed geometry.

Calculated values
Total magnetization ... 0.0 Bohr magnetons per cell
E_form ... 37 meV per atom
Final energy ... -0.165 Ry per atom

a = 7.076 Å, b = 7.076 Å, c = 7.076 Å
α = 145.97°, β = 71.45°, γ = 119.30°
Atoms (fractional coordinates):
Sr 0.000 0.000 0.000
Sr 0.318 0.499 0.820
Sr 0.679 0.499 0.180
Cu 0.323 0.823 0.500

No. 2
The following is a DFT calculation (GGA-PBE) of crystalline Sr3Cu at its relaxed geometry.

Calculated values
Total magnetization ... 0.0 Bohr magnetons per cell
E_form ... -27 meV per atom
Final energy ... -0.170 Ry per atom

a = 8.212 Å, b = 10.923 Å, c = 7.285 Å
α = 90.00°, β = 90.00°, γ = 90.00°
Atoms (fractional coordinates):
Sr 0.045 0.250 0.159
Sr 0.174 0.070 0.669
Sr 0.174 0.430 0.669
Sr 0.326 0.570 0.169
Sr 0.326 0.930 0.169
Sr 0.455 0.750 0.659
Sr 0.545 0.250 0.341
Sr 0.674 0.070 0.831
Sr 0.674 0.430 0.831
Sr 0.826 0.570 0.331
Sr 0.826 0.930 0.331
Sr 0.955 0.750 0.841
Cu 0.121 0.750 0.445
Cu 0.379 0.250 0.945
Cu 0.621 0.750 0.055
Cu 0.879 0.250 0.555

No. 3
The following is a DFT calculation (GGA-PBE) of crystalline SrCu at its relaxed geometry.

Calculated values
Total magnetization ... 0.0 Bohr magnetons per cell
E_form ... 42 meV per atom
Final energy ... -0.209 Ry per atom

a = 7.211 Å, b = 7.211 Å, c = 7.777 Å
α = 122.49°, β = 122.49°, γ = 32.58°
Atoms (fractional coordinates):
Sr 0.000 0.000 0.000
Sr 0.315 0.315 0.446
Sr 0.630 0.630 0.631
Cu 0.315 0.315 0.054
Cu 0.708 0.708 0.079
Cu 0.923 0.923 0.293

No. 4
The following is a DFT calculation (GGA-PBE) of crystalline SrCu6 at its relaxed geometry.

Calculated values
ΔE to the lowest computed polymorph ... 343.8 meV/atom
Total magnetization ... 0.0 Bohr magnetons per cell
E_form ... 342 meV per atom
Final energy ... -0.251 Ry per atom

a = 5.662 Å, b = 5.662 Å, c = 5.662 Å
α = 109.47°, β = 109.47°, γ = 109.47°
Atoms (fractional coordinates):
Sr 0.000 0.000 0.000
Cu 0.250 0.500 0.750
Cu 0.250 0.750 0.500
Cu 0.500 0.250 0.750
Cu 0.500 0.750 0.250
Cu 0.750 0.250 0.500
Cu 0.750 0.500 0.250

No. 5
The following is a DFT calculation (GGA-PBE) of crystalline SrCu at its relaxed geometry.

Calculated values
Total magnetization ... 0.5 Bohr magnetons per cell
E_form ... 333 meV per atom
Final energy ... -0.188 Ry per atom

a = 5.168 Å, b = 5.168 Å, c = 5.168 Å
α = 60.00°, β = 60.00°, γ = 60.00°
Atoms (fractional coordinates):
Sr 0.125 0.125 0.125
Sr 0.875 0.875 0.875
Cu 0.375 0.375 0.375
Cu 0.625 0.625 0.625

No. 6
The following is a DFT calculation (GGA-PBE) of crystalline SrCu at its relaxed geometry.

Calculated values
Total magnetization ... 0.0 Bohr magnetons per cell
E_form ... -1 meV per atom
Final energy ... -0.212 Ry per atom

a = 7.921 Å, b = 7.921 Å, c = 7.921 Å
α = 149.10°, β = 148.82°, γ = 44.47°
Atoms (fractional coordinates):
Sr 0.371 0.121 0.250
Sr 0.629 0.879 0.750
Cu 0.210 0.460 0.750
Cu 0.790 0.540 0.250

No. 7
The following is a DFT calculation (GGA-PBE) of crystalline SrCu at its relaxed geometry.

Calculated values
Total magnetization ... 0.0 Bohr magnetons per cell
E_form ... 154 meV per atom
Final energy ... -0.201 Ry per atom

a = 4.231 Å, b = 4.231 Å, c = 4.016 Å
α = 90.00°, β = 90.00°, γ = 120.00°
Atoms (fractional coordinates):
Sr 0.000 0.000 0.000
Cu 0.667 0.333 0.500

No. 8
The following is a DFT calculation (GGA-PBE) of crystalline SrCu at its relaxed geometry.

Calculated values
Total magnetization ... 0.8 Bohr magnetons per cell
E_form ... 293 meV per atom
Final energy ... -0.191 Ry per atom

a = 7.736 Å, b = 7.736 Å, c = 7.736 Å
α = 109.47°, β = 109.47°, γ = 109.47°
Atoms (fractional coordinates):
Sr 0.000 0.000 0.415
Sr 0.000 0.415 0.000
Sr 0.415 0.000 0.000
Sr 0.585 0.585 0.585
Cu 0.000 0.000 0.804
Cu 0.000 0.804 0.000
Cu 0.196 0.196 0.196
Cu 0.804 0.000 0.000

No. 9
The following is a DFT calculation (GGA-PBE) of crystalline Sr4Cu5 at its relaxed geometry.

Calculated values
Total magnetization ... 0.0 Bohr magnetons per cell
E_form ... 172 meV per atom
Final energy ... -0.210 Ry per atom

a = 9.117 Å, b = 9.117 Å, c = 6.686 Å
α = 90.00°, β = 90.00°, γ = 120.00°
Atoms (fractional coordinates):
Sr 0.000 0.000 0.000
Sr 0.000 0.000 0.500
Sr 0.000 0.381 0.250
Sr 0.000 0.619 0.750
Sr 0.381 0.000 0.250
Sr 0.381 0.381 0.750
Sr 0.619 0.000 0.750
Sr 0.619 0.619 0.250
Cu 0.000 0.291 0.750
Cu 0.000 0.709 0.250
Cu 0.291 0.000 0.750
Cu 0.291 0.291 0.250
Cu 0.333 0.667 0.000
Cu 0.333 0.667 0.500
Cu 0.667 0.333 0.000
Cu 0.667 0.333 0.500
Cu 0.709 0.000 0.250
Cu 0.709 0.709 0.750

No. 10
The following is a DFT calculation (GGA-PBE) of crystalline SrCu at its relaxed geometry.

Calculated values
Total magnetization ... 0.0 Bohr magnetons per cell
E_form ... 577 meV per atom
Final energy ... -0.170 Ry per atom

a = 8.550 Å, b = 8.550 Å, c = 8.550 Å
α = 90.00°, β = 90.00°, γ = 90.00°
Atoms (fractional coordinates):
Sr 0.000 0.250 0.500
Sr 0.000 0.750 0.500
Sr 0.250 0.500 0.000
Sr 0.500 0.000 0.250
Sr 0.500 0.000 0.750
Sr 0.750 0.500 0.000
Cu 0.000 0.500 0.250
Cu 0.000 0.500 0.750
Cu 0.250 0.000 0.500
Cu 0.500 0.250 0.000
Cu 0.500 0.750 0.000
Cu 0.750 0.000 0.500

No. 11
The following is a DFT calculation (GGA-PBE) of crystalline Sr3Cu at its relaxed geometry.

Calculated values
Total magnetization ... 0.0 Bohr magnetons per cell
E_form ... 66 meV per atom
Final energy ... -0.163 Ry per atom

a = 7.438 Å, b = 7.438 Å, c = 7.438 Å
α = 148.55°, β = 130.12°, γ = 60.17°
Atoms (fractional coordinates):
Sr 0.000 0.000 0.000
Sr 0.315 0.815 0.500
Sr 0.685 0.185 0.500
Cu 0.500 0.500 0.000

No. 12
The following is a DFT calculation (GGA-PBE) of crystalline Sr3Cu2 at its relaxed geometry.

Calculated values
Total magnetization ... 0.0 Bohr magnetons per cell
E_form ... -16 meV per atom
Final energy ... -0.196 Ry per atom

a = 8.135 Å, b = 8.135 Å, c = 8.135 Å
α = 56.75°, β = 56.75°, γ = 56.75°
Atoms (fractional coordinates):
Sr 0.117 0.750 0.383
Sr 0.250 0.617 0.883
Sr 0.383 0.117 0.750
Sr 0.617 0.883 0.250
Sr 0.750 0.383 0.117
Sr 0.883 0.250 0.617
Cu 0.188 0.188 0.188
Cu 0.312 0.312 0.312
Cu 0.688 0.688 0.688
Cu 0.812 0.812 0.812